# 1
# MnCd3

A geometry-optimized MnCd3 structure (GGA-PBE, Alexandria via LeMat-Bulk).

V ... 79 Å³/f.u.
Formation enthalpy at 0 K ... 178 meV per atom

CIF file:
```
data_MnCd3
_chemical_formula_sum 'Mn2 Cd6'
_cell_length_a 8.948
_cell_length_b 8.948
_cell_length_c 8.948
_cell_angle_alpha 152.03
_cell_angle_beta 152.03
_cell_angle_gamma 39.97
_symmetry_space_group_name_H-M 'P 1'
_symmetry_Int_Tables_number 1
_symmetry_space_group_name_Hall 'P 1'
loop_
_atom_site_label
_atom_site_fract_x
_atom_site_fract_y
_atom_site_fract_z
Mn1 0.124 0.124 0.000
Mn2 0.876 0.876 0.000
Cd1 0.000 0.500 0.500
Cd2 0.250 0.750 0.500
Cd3 0.373 0.373 0.000
Cd4 0.500 0.000 0.500
Cd5 0.627 0.627 0.000
Cd6 0.750 0.250 0.500
```

=====

# 2
# Mn3Cd

A geometry-optimized Mn3Cd structure (GGA-PBE, Alexandria via LeMat-Bulk).

V ... 60 Å³/f.u.
Formation enthalpy at 0 K ... 373 meV per atom

CIF file:
```
data_Mn3Cd
_chemical_formula_sum 'Mn3 Cd1'
_cell_length_a 2.819
_cell_length_b 2.819
_cell_length_c 8.649
_cell_angle_alpha 90.00
_cell_angle_beta 90.00
_cell_angle_gamma 120.00
_symmetry_space_group_name_H-M 'P 1'
_symmetry_Int_Tables_number 1
_symmetry_space_group_name_Hall 'P 1'
loop_
_atom_site_label
_atom_site_fract_x
_atom_site_fract_y
_atom_site_fract_z
Mn1 0.000 0.000 0.000
Mn2 0.333 0.667 0.215
Mn3 0.333 0.667 0.785
Cd1 0.000 0.000 0.500
```

=====

# 3
# MnCd4

A geometry-optimized MnCd4 structure (GGA-PBE, Alexandria via LeMat-Bulk).

V ... 102 Å³/f.u.
Formation enthalpy at 0 K ... 173 meV per atom

CIF file:
```
data_MnCd4
_chemical_formula_sum 'Mn1 Cd4'
_cell_length_a 5.287
_cell_length_b 5.287
_cell_length_c 5.287
_cell_angle_alpha 100.02
_cell_angle_beta 100.02
_cell_angle_gamma 130.68
_symmetry_space_group_name_H-M 'P 1'
_symmetry_Int_Tables_number 1
_symmetry_space_group_name_Hall 'P 1'
loop_
_atom_site_label
_atom_site_fract_x
_atom_site_fract_y
_atom_site_fract_z
Mn1 0.000 0.000 0.000
Cd1 0.205 0.397 0.602
Cd2 0.397 0.795 0.192
Cd3 0.603 0.205 0.808
Cd4 0.795 0.603 0.398
```

=====

# 4
# Mn4Cd

A geometry-optimized Mn4Cd structure (GGA-PBE, Alexandria via LeMat-Bulk).

V ... 69 Å³/f.u.
Energy above the most stable polymorph in this dataset ... 0 kJ/mol of formula units
Formation enthalpy at 0 K ... 350 meV per atom

CIF file:
```
data_Mn4Cd
_chemical_formula_sum 'Mn4 Cd1'
_cell_length_a 5.394
_cell_length_b 5.394
_cell_length_c 5.394
_cell_angle_alpha 138.08
_cell_angle_beta 138.08
_cell_angle_gamma 60.78
_symmetry_space_group_name_H-M 'P 1'
_symmetry_Int_Tables_number 1
_symmetry_space_group_name_Hall 'P 1'
loop_
_atom_site_label
_atom_site_fract_x
_atom_site_fract_y
_atom_site_fract_z
Mn1 0.118 0.118 0.000
Mn2 0.250 0.750 0.500
Mn3 0.750 0.250 0.500
Mn4 0.882 0.882 0.000
Cd1 0.500 0.500 0.000
```

=====

# 5
# Mn5Cd3

A geometry-optimized Mn5Cd3 structure (GGA-PBE, Alexandria via LeMat-Bulk).

V ... 134 Å³/f.u.
Energy above the most stable polymorph in this dataset ... 0 kJ/mol of formula units
Formation enthalpy at 0 K ... 385 meV per atom

CIF file:
```
data_Mn5Cd3
_chemical_formula_sum 'Mn5 Cd3'
_cell_length_a 5.774
_cell_length_b 5.774
_cell_length_c 4.032
_cell_angle_alpha 90.00
_cell_angle_beta 90.00
_cell_angle_gamma 91.41
_symmetry_space_group_name_H-M 'P 1'
_symmetry_Int_Tables_number 1
_symmetry_space_group_name_Hall 'P 1'
loop_
_atom_site_label
_atom_site_fract_x
_atom_site_fract_y
_atom_site_fract_z
Mn1 0.000 0.000 0.000
Mn2 0.000 0.500 0.000
Mn3 0.245 0.245 0.500
Mn4 0.500 0.000 0.000
Mn5 0.755 0.755 0.500
Cd1 0.240 0.760 0.500
Cd2 0.500 0.500 0.000
Cd3 0.760 0.240 0.500
```

=====

# 6
# MnCd3

A geometry-optimized MnCd3 structure (GGA-PBE, Alexandria via LeMat-Bulk).

V ... 152 Å³/f.u.
Formation enthalpy at 0 K ... 640 meV per atom

CIF file:
```
data_MnCd3
_chemical_formula_sum 'Mn1 Cd3'
_cell_length_a 5.332
_cell_length_b 5.332
_cell_length_c 5.332
_cell_angle_alpha 90.00
_cell_angle_beta 90.00
_cell_angle_gamma 90.00
_symmetry_space_group_name_H-M 'P 1'
_symmetry_Int_Tables_number 1
_symmetry_space_group_name_Hall 'P 1'
loop_
_atom_site_label
_atom_site_fract_x
_atom_site_fract_y
_atom_site_fract_z
Mn1 0.000 0.000 0.000
Cd1 0.000 0.000 0.500
Cd2 0.000 0.500 0.000
Cd3 0.500 0.000 0.000
```

=====

# 7
# Mn3Cd

A geometry-optimized Mn3Cd structure (GGA-PBE, Alexandria via LeMat-Bulk).

V ... 63 Å³/f.u.
Formation enthalpy at 0 K ... 461 meV per atom

CIF file:
```
data_Mn3Cd
_chemical_formula_sum 'Mn3 Cd1'
_cell_length_a 4.856
_cell_length_b 4.856
_cell_length_c 4.873
_cell_angle_alpha 100.52
_cell_angle_beta 100.52
_cell_angle_gamma 33.89
_symmetry_space_group_name_H-M 'P 1'
_symmetry_Int_Tables_number 1
_symmetry_space_group_name_Hall 'P 1'
loop_
_atom_site_label
_atom_site_fract_x
_atom_site_fract_y
_atom_site_fract_z
Mn1 0.000 0.000 0.000
Mn2 0.254 0.254 0.771
Mn3 0.746 0.746 0.229
Cd1 0.500 0.500 0.500
```

=====

# 8
# Mn3Cd

A geometry-optimized Mn3Cd structure (GGA-PBE, Alexandria via LeMat-Bulk).

V ... 60 Å³/f.u.
Formation enthalpy at 0 K ... 251 meV per atom

CIF file:
```
data_Mn3Cd
_chemical_formula_sum 'Mn3 Cd1'
_cell_length_a 2.975
_cell_length_b 3.031
_cell_length_c 6.685
_cell_angle_alpha 90.00
_cell_angle_beta 90.00
_cell_angle_gamma 90.00
_symmetry_space_group_name_H-M 'P 1'
_symmetry_Int_Tables_number 1
_symmetry_space_group_name_Hall 'P 1'
loop_
_atom_site_label
_atom_site_fract_x
_atom_site_fract_y
_atom_site_fract_z
Mn1 0.000 0.000 0.000
Mn2 0.500 0.500 0.208
Mn3 0.500 0.500 0.792
Cd1 0.000 0.000 0.500
```